# 1
A relaxed TaBNF2 crystal. Source: Alexandria via LeMat-Bulk, functional GGA-PBE.

Space group: No. 123
V: 53.80 Å³ per cell

abc: 4.4906 4.4906 2.6680
angles: 90.00 90.00 90.00
Positions (direct):
1 Ta 0.0000 0.0000 0.0000
2 B 0.5000 0.5000 0.5000
3 N 0.5000 0.5000 0.0000
4 F 0.0000 0.5000 0.5000
5 F 0.5000 0.0000 0.5000

# 2
A relaxed TaBNF2 crystal. Source: Alexandria via LeMat-Bulk, functional GGA-PBE.

Space group: No. 123
V: 67.76 Å³ per cell

abc: 4.1134 4.1134 4.0047
angles: 90.00 90.00 90.00
Positions (direct):
1 Ta 0.0000 0.0000 0.0000
2 B 0.5000 0.5000 0.5000
3 N 0.0000 0.0000 0.5000
4 F 0.0000 0.5000 0.0000
5 F 0.5000 0.0000 0.0000

# 3
A relaxed TcBN2F crystal. Source: Alexandria via LeMat-Bulk, functional GGA-PBE.

Space group: No. 123
V: 61.56 Å³ per cell

abc: 3.8434 3.8434 4.1673
angles: 90.00 90.00 90.00
Positions (direct):
1 Tc 0.0000 0.0000 0.0000
2 B 0.5000 0.5000 0.5000
3 N 0.0000 0.5000 0.0000
4 N 0.5000 0.0000 0.0000
5 F 0.0000 0.0000 0.5000

# 4
A relaxed TcBN2F crystal. Source: Alexandria via LeMat-Bulk, functional GGA-PBE.

Space group: No. 123
V: 40.58 Å³ per cell

abc: 3.5710 3.5710 3.1825
angles: 90.00 90.00 90.00
Positions (direct):
1 Tc 0.0000 0.0000 0.0000
2 B 0.5000 0.5000 0.5000
3 N 0.0000 0.5000 0.5000
4 N 0.5000 0.0000 0.5000
5 F 0.5000 0.5000 0.0000

# 5
A relaxed BTe2NF crystal. Source: Alexandria via LeMat-Bulk, functional GGA-PBE.

Space group: No. 123
V: 117.98 Å³ per cell

abc: 6.6370 6.6370 2.6783
angles: 90.00 90.00 90.00
Positions (direct):
1 B 0.0000 0.0000 0.0000
2 Te 0.0000 0.5000 0.0000
3 Te 0.5000 0.0000 0.0000
4 N 0.0000 0.0000 0.5000
5 F 0.5000 0.5000 0.5000

# 6
A relaxed BTe2NF crystal. Source: Alexandria via LeMat-Bulk, functional GGA-PBE.

Space group: No. 123
V: 89.61 Å³ per cell

abc: 4.8282 4.8282 3.8441
angles: 90.00 90.00 90.00
Positions (direct):
1 B 0.0000 0.0000 0.0000
2 Te 0.0000 0.5000 0.5000
3 Te 0.5000 0.0000 0.5000
4 N 0.5000 0.5000 0.0000
5 F 0.5000 0.5000 0.5000

# 7
A relaxed ThBN2F crystal. Source: Alexandria via LeMat-Bulk, functional GGA-PBE.

Space group: No. 11
V: 170.40 Å³ per cell

abc: 6.2546 4.1314 6.6399
angles: 90.00 96.72 90.00
Positions (direct):
1 Th 0.2176 0.2500 0.3620
2 Th 0.7824 0.7500 0.6380
3 B 0.1280 0.2500 0.8576
4 B 0.8720 0.7500 0.1424
5 N 0.0187 0.2500 0.6664
6 N 0.2334 0.2500 0.0407
7 N 0.7666 0.7500 0.9593
8 N 0.9813 0.7500 0.3336
9 F 0.4390 0.7500 0.4017
10 F 0.5610 0.2500 0.5983

# 8
A relaxed TlBN2F crystal. Source: Alexandria via LeMat-Bulk, functional GGA-PBE.

Space group: No. 123
V: 88.11 Å³ per cell

abc: 4.3898 4.3898 4.5721
angles: 90.00 90.00 90.00
Positions (direct):
1 Tl 0.0000 0.0000 0.0000
2 B 0.5000 0.5000 0.5000
3 N 0.0000 0.5000 0.0000
4 N 0.5000 0.0000 0.0000
5 F 0.0000 0.0000 0.5000

In the order shown, the computed formation energy from raw total energies values come out to -551 -425 930 634 48 1765 -1820 2055 meV per atom.
In the order shown, the computed DOS(E_F) values come out to 2.6 2.6 2.8 1.6 5.1 2.9 0.0 1.3 states/eV/cell.
In the order shown, the computed uncorrected energy values come out to -33.35 -32.72 -30.91 -32.40 -22.92 -14.33 -83.44 -17.29 eV for the cell shown.